Record 1
The following is a PBE calculation of LaNd6Er4 after structural relaxation, from Alexandria via LeMat-Bulk.

Cell: 11.1511 11.1511 3.5915 Å, 90.00 90.00 120.00°
Space group P-6m2 (No. 187)
Symmetry-distinct sites (fractional):
La  0.0000  0.0000  0.0000 [1 per cell]
Nd  0.1829  0.3658  0.5000 [3 per cell]
Nd  0.5218  0.0437  0.0000 [3 per cell]
Er  0.3271  0.1636  0.5000 [3 per cell]
Er  0.3333  0.6667  0.0000 [1 per cell]

E	-4.55	eV per atom
DOS(E_F)	15.0	states/eV/cell
total magnetic moment	0.0	μB per cell


Record 2
The following is a PBE calculation of Ca3TlGe after structural relaxation, from Alexandria via LeMat-Bulk.

Cell: 5.693 5.693 5.693 Å, 90.00 90.00 90.00°
Space group Pm-3m (No. 221)
Symmetry-distinct sites (fractional):
Ca  0.000  0.000  0.500 [3 per cell]
Tl  0.500  0.500  0.500 [1 per cell]
Ge  0.000  0.000  0.000 [1 per cell]

E	-2.85	eV per atom
DOS(E_F)	4.4	states/eV/cell
total magnetic moment	0.0	μB per cell


In eV/atom, the formation energy values for the records above are, in order, 0.15; -0.25.